9
Lattice="7.393 0.000 0.000 -3.697 6.403 0.000 0.000 0.000 5.069" Properties=species:S:1:pos:R:3 comment="InSe2 (PBE, relaxed)" dos_at_fermi_per_ev_cell=7.0 vol_a3_per_cell=239.94 mass_density_g_cm3=5.7 space_group="P-62m, No. 189" raw_formation_energy_ev_per_atom=-0.03 dft_energy_ha_per_atom=-0.120 pbc="T T T"
In 0.000 0.000 0.000
In 0.000 4.269 2.534
In 3.697 2.134 2.534
Se -1.084 1.878 2.534
Se -2.404 4.163 0.000
Se 2.169 0.000 2.534
Se 1.293 2.240 0.000
Se 4.807 0.000 0.000
Se 2.612 4.525 2.534